Computed, not measured: InCo2Sb2 after structural relaxation at the PBE level of DFT.

Unit cell a=3.835 b=3.835 c=7.930 alpha=76.01 beta=76.01 gamma=90.00
Positions (direct):
Co (0.750, 0.250, 0.500)
Co (0.250, 0.750, 0.500)
Sb (0.643, 0.643, 0.714)
Sb (0.357, 0.357, 0.286)
In (0.000, 0.000, 0.000)

Output
The value obtained for the raw total energy is -4.944 eV per atom. The uncorrected formation energy is 2.18 kcal/mol of atoms. Its polymorph energy (0 for the lowest one) is 0 meV per atom.